(1)
## LiSnN (GGA-PBEsol)

Data for an optimized crystal structure of LiSnN.

offset from the most stable computed form	0.312	eV per atom
formation energy (no corrections)	28	meV per atom
crystal system	hexagonal

Structure (POSCAR):
```
LiSnN
1.0
3.547 0.000 0.000
-1.773 3.072 0.000
0.000 0.000 4.178
Li Sn N
1 1 1
Direct
0.000 0.000 0.000 Li
0.333 0.667 0.500 Sn
0.333 0.667 0.000 N
```

***

(2)
## Na2FeNi (GGA-PBEsol)

Data for an optimized crystal structure of Na2FeNi.

crystal system	cubic
ΔH_f (0 K)	1.122	eV/atom

Structure (POSCAR):
```
Na2FeNi
1.0
0.000 3.262 3.262
3.262 0.000 3.262
3.262 3.262 0.000
Na Fe Ni
2 1 1
Direct
0.250 0.250 0.250 Na
0.750 0.750 0.750 Na
0.000 0.000 0.000 Fe
0.500 0.500 0.500 Ni
```

***

> What is the formula in the second record?

Na2FeNi

***

Please write out number 2 again, unchanged.
## Na2FeNi (GGA-PBEsol)

Data for an optimized crystal structure of Na2FeNi.

crystal system	cubic
ΔH_f (0 K)	1.122	eV/atom

Structure (POSCAR):
```
Na2FeNi
1.0
0.000 3.262 3.262
3.262 0.000 3.262
3.262 3.262 0.000
Na Fe Ni
2 1 1
Direct
0.250 0.250 0.250 Na
0.750 0.750 0.750 Na
0.000 0.000 0.000 Fe
0.500 0.500 0.500 Ni
```